## AlReGe2 (PBE-GGA)

Data for a relaxed AlReGe2 crystal.

Cell lengths 2.9904, 2.9904, 9.1955 Å; angles 80.64, 80.64, 60.00 degrees
With the nearest neighbours (Å) after each atom.
Atoms (fractional coordinates):
Ge  0.9045  0.9045  0.2866  3 Re 2.59, 1 Al 2.59
Re  0.5000  0.5000  0.5000  6 Ge 2.59
Ge  0.0955  0.0955  0.7134  3 Re 2.59, 1 Al 2.59
Al  0.0000  0.0000  0.0000  2 Ge 2.59

Computed properties:
energy of formation = 0.1428 eV/atom
raw total energy = -6.214 eV/atom